[1]
# TlSn2Pb, relaxed, DFT PBE
data_TlSn2Pb
_symmetry_space_group_name_H-M 'P 1'
_symmetry_Int_Tables_number 1
_symmetry_space_group_name_Hall 'P 1'
_cell_length_a 5.993
_cell_length_b 6.894
_cell_length_c 6.367
_cell_angle_alpha 90.00
_cell_angle_beta 113.79
_cell_angle_gamma 90.00
loop_
_atom_site_label
_atom_site_type_symbol
_atom_site_fract_x
_atom_site_fract_y
_atom_site_fract_z
Tl1 Tl 0.183 0.250 0.215
Tl2 Tl 0.817 0.750 0.785
Sn1 Sn 0.282 0.021 0.764
Sn2 Sn 0.282 0.479 0.764
Sn3 Sn 0.718 0.521 0.236
Sn4 Sn 0.718 0.979 0.236
Pb1 Pb 0.262 0.750 0.336
Pb2 Pb 0.738 0.250 0.664
# * DOS(E_F): 3.2 states/eV per cell
# * energy of formation from the pure elements: 0.045 eV/atom

[2]
# Na12Cl3O5, relaxed, DFT PBE
data_Na12Cl3O5
_symmetry_space_group_name_H-M 'P 1'
_symmetry_Int_Tables_number 1
_symmetry_space_group_name_Hall 'P 1'
_cell_length_a 12.862
_cell_length_b 12.862
_cell_length_c 12.862
_cell_angle_alpha 109.47
_cell_angle_beta 109.47
_cell_angle_gamma 109.47
loop_
_atom_site_label
_atom_site_type_symbol
_atom_site_fract_x
_atom_site_fract_y
_atom_site_fract_z
Na1 Na 0.013 0.190 0.112
Na2 Na 0.013 0.322 0.901
Na3 Na 0.079 0.690 0.678
Na4 Na 0.079 0.888 0.401
Na5 Na 0.099 0.612 0.421
Na6 Na 0.099 0.987 0.678
Na7 Na 0.112 0.013 0.190
Na8 Na 0.112 0.599 0.921
Na9 Na 0.178 0.190 0.579
Na10 Na 0.178 0.487 0.599
Na11 Na 0.190 0.112 0.013
Na12 Na 0.190 0.579 0.178
Na13 Na 0.310 0.322 0.921
Na14 Na 0.310 0.487 0.388
Na15 Na 0.322 0.901 0.013
Na16 Na 0.322 0.921 0.310
Na17 Na 0.388 0.310 0.487
Na18 Na 0.388 0.579 0.901
Na19 Na 0.401 0.079 0.888
Na20 Na 0.401 0.822 0.513
Na21 Na 0.421 0.099 0.612
Na22 Na 0.421 0.822 0.810
Na23 Na 0.487 0.388 0.310
Na24 Na 0.487 0.599 0.178
Na25 Na 0.513 0.401 0.822
Na26 Na 0.513 0.612 0.690
Na27 Na 0.579 0.178 0.190
Na28 Na 0.579 0.901 0.388
Na29 Na 0.599 0.178 0.487
Na30 Na 0.599 0.921 0.112
Na31 Na 0.612 0.421 0.099
Na32 Na 0.612 0.690 0.513
Na33 Na 0.678 0.079 0.690
Na34 Na 0.678 0.099 0.987
Na35 Na 0.690 0.513 0.612
Na36 Na 0.690 0.678 0.079
Na37 Na 0.810 0.421 0.822
Na38 Na 0.810 0.888 0.987
Na39 Na 0.822 0.513 0.401
Na40 Na 0.822 0.810 0.421
Na41 Na 0.888 0.401 0.079
Na42 Na 0.888 0.987 0.810
Na43 Na 0.901 0.013 0.322
Na44 Na 0.901 0.388 0.579
Na45 Na 0.921 0.112 0.599
Na46 Na 0.921 0.310 0.322
Na47 Na 0.987 0.678 0.099
Na48 Na 0.987 0.810 0.888
Cl1 Cl 0.125 0.250 0.375
Cl2 Cl 0.125 0.375 0.750
Cl3 Cl 0.250 0.375 0.125
Cl4 Cl 0.250 0.875 0.625
Cl5 Cl 0.375 0.125 0.250
Cl6 Cl 0.375 0.750 0.125
Cl7 Cl 0.625 0.250 0.875
Cl8 Cl 0.625 0.875 0.750
Cl9 Cl 0.750 0.125 0.375
Cl10 Cl 0.750 0.625 0.875
Cl11 Cl 0.875 0.625 0.250
Cl12 Cl 0.875 0.750 0.625
O1 O 0.000 0.000 0.000
O2 O 0.000 0.000 0.500
O3 O 0.000 0.500 0.000
O4 O 0.000 0.500 0.500
O5 O 0.125 0.750 0.875
O6 O 0.125 0.875 0.250
O7 O 0.250 0.125 0.875
O8 O 0.250 0.625 0.375
O9 O 0.375 0.250 0.625
O10 O 0.375 0.625 0.750
O11 O 0.500 0.000 0.000
O12 O 0.500 0.000 0.500
O13 O 0.500 0.500 0.000
O14 O 0.500 0.500 0.500
O15 O 0.625 0.375 0.250
O16 O 0.625 0.750 0.375
O17 O 0.750 0.375 0.625
O18 O 0.750 0.875 0.125
O19 O 0.875 0.125 0.750
O20 O 0.875 0.250 0.125
# * DOS(E_F): 75.7 states/eV per cell
# * formation energy without anion corrections: -1.28 eV per atom

[3]
# ThSi2MoRu, relaxed, DFT PBE
data_ThSi2MoRu
_symmetry_space_group_name_H-M 'P 1'
_symmetry_Int_Tables_number 1
_symmetry_space_group_name_Hall 'P 1'
_cell_length_a 4.299
_cell_length_b 4.299
_cell_length_c 9.789
_cell_angle_alpha 90.00
_cell_angle_beta 90.00
_cell_angle_gamma 90.00
loop_
_atom_site_label
_atom_site_type_symbol
_atom_site_fract_x
_atom_site_fract_y
_atom_site_fract_z
Th1 Th 0.000 0.000 0.000
Th2 Th 0.500 0.500 0.500
Si1 Si 0.000 0.000 0.371
Si2 Si 0.000 0.000 0.629
Si3 Si 0.500 0.500 0.129
Si4 Si 0.500 0.500 0.871
Mo1 Mo 0.000 0.500 0.250
Mo2 Mo 0.500 0.000 0.750
Ru1 Ru 0.000 0.500 0.750
Ru2 Ru 0.500 0.000 0.250
# * DOS(E_F): 10.3 states/eV per cell
# * formation energy without anion corrections: -0.63 eV per atom

[4]
# Er2Ga12Pt, relaxed, DFT PBE
data_Er2Ga12Pt
_symmetry_space_group_name_H-M 'P 1'
_symmetry_Int_Tables_number 1
_symmetry_space_group_name_Hall 'P 1'
_cell_length_a 6.116
_cell_length_b 6.116
_cell_length_c 15.333
_cell_angle_alpha 90.00
_cell_angle_beta 90.00
_cell_angle_gamma 90.00
loop_
_atom_site_label
_atom_site_type_symbol
_atom_site_fract_x
_atom_site_fract_y
_atom_site_fract_z
Er1 Er 0.250 0.750 0.241
Er2 Er 0.250 0.750 0.759
Er3 Er 0.750 0.250 0.241
Er4 Er 0.750 0.250 0.759
Ga1 Ga 0.000 0.000 0.092
Ga2 Ga 0.000 0.000 0.908
Ga3 Ga 0.000 0.500 0.092
Ga4 Ga 0.000 0.500 0.908
Ga5 Ga 0.086 0.586 0.431
Ga6 Ga 0.086 0.914 0.569
Ga7 Ga 0.250 0.250 0.191
Ga8 Ga 0.250 0.250 0.349
Ga9 Ga 0.250 0.250 0.651
Ga10 Ga 0.250 0.250 0.809
Ga11 Ga 0.414 0.586 0.569
Ga12 Ga 0.414 0.914 0.431
Ga13 Ga 0.500 0.000 0.092
Ga14 Ga 0.500 0.000 0.908
Ga15 Ga 0.500 0.500 0.092
Ga16 Ga 0.500 0.500 0.908
Ga17 Ga 0.586 0.086 0.569
Ga18 Ga 0.586 0.414 0.431
Ga19 Ga 0.750 0.750 0.191
Ga20 Ga 0.750 0.750 0.349
Ga21 Ga 0.750 0.750 0.651
Ga22 Ga 0.750 0.750 0.809
Ga23 Ga 0.914 0.086 0.431
Ga24 Ga 0.914 0.414 0.569
Pt1 Pt 0.250 0.750 0.000
Pt2 Pt 0.750 0.250 0.000
# * DOS(E_F): 8.7 states/eV per cell
# * energy of formation from the pure elements: -0.383 eV/atom

[5]
# CeYRh, relaxed, DFT PBE
data_CeYRh
_symmetry_space_group_name_H-M 'P 1'
_symmetry_Int_Tables_number 1
_symmetry_space_group_name_Hall 'P 1'
_cell_length_a 3.695
_cell_length_b 4.933
_cell_length_c 7.994
_cell_angle_alpha 90.00
_cell_angle_beta 90.00
_cell_angle_gamma 90.00
loop_
_atom_site_label
_atom_site_type_symbol
_atom_site_fract_x
_atom_site_fract_y
_atom_site_fract_z
Ce1 Ce 0.250 0.250 0.044
Ce2 Ce 0.750 0.750 0.956
Y1 Y 0.250 0.750 0.366
Y2 Y 0.750 0.250 0.634
Rh1 Rh 0.250 0.750 0.716
Rh2 Rh 0.750 0.250 0.284
# * DOS(E_F): 9.2 states/eV per cell
# * energy of formation from the pure elements: -0.530 eV/atom
# * energy relative to the lowest polymorph listed for this composition: 0 meV/atom

[6]
# Zr2CoCu, relaxed, DFT PBE
data_Zr2CoCu
_symmetry_space_group_name_H-M 'P 1'
_symmetry_Int_Tables_number 1
_symmetry_space_group_name_Hall 'P 1'
_cell_length_a 6.359
_cell_length_b 6.359
_cell_length_c 6.359
_cell_angle_alpha 90.00
_cell_angle_beta 90.00
_cell_angle_gamma 90.00
loop_
_atom_site_label
_atom_site_type_symbol
_atom_site_fract_x
_atom_site_fract_y
_atom_site_fract_z
Zr1 Zr 0.000 0.000 0.000
Zr2 Zr 0.000 0.500 0.500
Zr3 Zr 0.250 0.250 0.250
Zr4 Zr 0.250 0.750 0.750
Zr5 Zr 0.500 0.000 0.500
Zr6 Zr 0.500 0.500 0.000
Zr7 Zr 0.750 0.250 0.750
Zr8 Zr 0.750 0.750 0.250
Co1 Co 0.000 0.000 0.500
Co2 Co 0.000 0.500 0.000
Co3 Co 0.500 0.000 0.000
Co4 Co 0.500 0.500 0.500
Cu1 Cu 0.250 0.250 0.750
Cu2 Cu 0.250 0.750 0.250
Cu3 Cu 0.750 0.250 0.250
Cu4 Cu 0.750 0.750 0.750
# * DOS(E_F): 6.1 states/eV per cell
# * energy of formation from the pure elements: 0.058 eV/atom

[7]
# UGa2PbI8, relaxed, DFT PBE
data_UGa2PbI8
_symmetry_space_group_name_H-M 'P 1'
_symmetry_Int_Tables_number 1
_symmetry_space_group_name_Hall 'P 1'
_cell_length_a 7.377
_cell_length_b 9.355
_cell_length_c 7.879
_cell_angle_alpha 90.00
_cell_angle_beta 91.80
_cell_angle_gamma 90.00
loop_
_atom_site_label
_atom_site_type_symbol
_atom_site_fract_x
_atom_site_fract_y
_atom_site_fract_z
U1 U 0.000 0.000 0.000
Ga1 Ga 0.500 0.262 0.500
Ga2 Ga 0.500 0.738 0.500
Pb1 Pb 0.000 0.500 0.000
I1 I 0.235 0.000 0.314
I2 I 0.236 0.234 0.849
I3 I 0.236 0.766 0.849
I4 I 0.262 0.500 0.337
I5 I 0.738 0.500 0.663
I6 I 0.764 0.234 0.151
I7 I 0.764 0.766 0.151
I8 I 0.765 0.000 0.686
# * DOS(E_F): 10.7 states/eV per cell
# * formation energy without anion corrections: -0.59 eV per atom

[8]
# LiHgSbPb, relaxed, DFT PBE
data_LiHgSbPb
_symmetry_space_group_name_H-M 'P 1'
_symmetry_Int_Tables_number 1
_symmetry_space_group_name_Hall 'P 1'
_cell_length_a 7.847
_cell_length_b 4.533
_cell_length_c 7.012
_cell_angle_alpha 90.00
_cell_angle_beta 111.67
_cell_angle_gamma 90.00
loop_
_atom_site_label
_atom_site_type_symbol
_atom_site_fract_x
_atom_site_fract_y
_atom_site_fract_z
Li1 Li 0.000 0.000 0.000
Li2 Li 0.500 0.500 0.000
Hg1 Hg 0.095 0.500 0.786
Hg2 Hg 0.595 0.000 0.786
Sb1 Sb 0.393 0.000 0.176
Sb2 Sb 0.893 0.500 0.176
Pb1 Pb 0.309 0.500 0.427
Pb2 Pb 0.809 0.000 0.427
# * DOS(E_F): 1.5 states/eV per cell
# * formation energy without anion corrections: -0.17 eV per atom